[1]
Here is a relaxed LiBe2PIr crystal from Alexandria. Energies are from GGA-PBE.

Cell and atoms, written as CIF:
```
data_LiBe2PIr
_cell_length_a 4.052
_cell_length_b 4.466
_cell_length_c 4.052
_cell_angle_alpha 90.00
_cell_angle_beta 90.00
_cell_angle_gamma 90.00
_symmetry_space_group_name_H-M 'P 1'
_symmetry_Int_Tables_number 1
_symmetry_space_group_name_Hall 'P 1'
loop_
_atom_site_label
_atom_site_fract_x
_atom_site_fract_y
_atom_site_fract_z
Li1 0.500 0.500 0.500
Be1 0.500 0.000 0.000
Be2 0.000 0.000 0.500
Ir1 0.000 0.500 0.000
P1 0.000 0.000 0.000
```

Computed properties:
SG: P4/mmm, No. 123
ΔE_f, kJ/mol of formula units: 172

=====

[2]
Here is a relaxed CaAlGe2As crystal from Alexandria. Energies are from GGA-PBE.

Cell and atoms, written as CIF:
```
data_CaAlGe2As
_cell_length_a 5.058
_cell_length_b 5.395
_cell_length_c 5.058
_cell_angle_alpha 90.00
_cell_angle_beta 90.00
_cell_angle_gamma 90.00
_symmetry_space_group_name_H-M 'P 1'
_symmetry_Int_Tables_number 1
_symmetry_space_group_name_Hall 'P 1'
loop_
_atom_site_label
_atom_site_fract_x
_atom_site_fract_y
_atom_site_fract_z
Ge1 0.000 0.000 0.500
Ca1 0.000 0.500 0.000
As1 0.000 0.000 0.000
Ge2 0.500 0.000 0.000
Al1 0.500 0.500 0.500
```

Computed properties:
SG: P4/mmm, No. 123
ΔE_f, kJ/mol of formula units: 161

=====

[3]
Here is a relaxed CdIr crystal from Alexandria. Energies are from GGA-PBE.

Cell and atoms, written as CIF:
```
data_CdIr
_cell_length_a 5.466
_cell_length_b 5.466
_cell_length_c 4.717
_cell_angle_alpha 90.00
_cell_angle_beta 90.00
_cell_angle_gamma 120.00
_symmetry_space_group_name_H-M 'P 1'
_symmetry_Int_Tables_number 1
_symmetry_space_group_name_Hall 'P 1'
loop_
_atom_site_label
_atom_site_fract_x
_atom_site_fract_y
_atom_site_fract_z
Cd1 0.667 0.333 0.500
Ir1 0.500 0.000 0.000
Ir2 0.000 0.500 0.000
Cd2 0.000 0.000 0.000
Ir3 0.500 0.500 0.000
Cd3 0.333 0.667 0.500
```

Computed properties:
SG: P6/mmm, No. 191
ΔE_f, kJ/mol of formula units: 35

=====

[4]
Here is a relaxed NaTc2W crystal from Alexandria. Energies are from GGA-PBE.

Cell and atoms, written as CIF:
```
data_NaTc2W
_cell_length_a 7.182
_cell_length_b 7.182
_cell_length_c 5.789
_cell_angle_alpha 51.66
_cell_angle_beta 51.66
_cell_angle_gamma 90.00
_symmetry_space_group_name_H-M 'P 1'
_symmetry_Int_Tables_number 1
_symmetry_space_group_name_Hall 'P 1'
loop_
_atom_site_label
_atom_site_fract_x
_atom_site_fract_y
_atom_site_fract_z
Tc1 0.375 0.339 0.750
Tc2 0.089 0.625 0.250
Tc3 0.875 0.911 0.750
W1 0.750 0.250 0.500
W2 0.000 0.000 0.000
Na1 0.250 0.750 0.500
Na2 0.500 0.500 0.000
Tc4 0.661 0.125 0.250
```

Computed properties:
SG: I-42d, No. 122
Polymorph energy (0 for the lowest one), eV per atom: 0.465
ΔE_f, kJ/mol of formula units: 454

=====

[5]
Here is a relaxed Ta2FeHg crystal from Alexandria. Energies are from GGA-PBE.

Cell and atoms, written as CIF:
```
data_Ta2FeHg
_cell_length_a 6.415
_cell_length_b 5.010
_cell_length_c 2.915
_cell_angle_alpha 90.40
_cell_angle_beta 62.27
_cell_angle_gamma 120.32
_symmetry_space_group_name_H-M 'P 1'
_symmetry_Int_Tables_number 1
_symmetry_space_group_name_Hall 'P 1'
loop_
_atom_site_label
_atom_site_fract_x
_atom_site_fract_y
_atom_site_fract_z
Ta1 0.000 0.000 0.000
Ta2 0.500 0.000 0.500
Fe1 0.000 0.500 0.500
Hg1 0.500 0.500 0.000
```

Computed properties:
SG: C2/m, No. 12
ΔE_f, kJ/mol of formula units: 134

=====

[6]
Here is a relaxed TbSm2Y2Ho crystal from Alexandria. Energies are from GGA-PBE.

Cell and atoms, written as CIF:
```
data_TbSm2Y2Ho
_cell_length_a 3.381
_cell_length_b 6.641
_cell_length_c 17.838
_cell_angle_alpha 90.00
_cell_angle_beta 90.00
_cell_angle_gamma 90.00
_symmetry_space_group_name_H-M 'P 1'
_symmetry_Int_Tables_number 1
_symmetry_space_group_name_Hall 'P 1'
loop_
_atom_site_label
_atom_site_fract_x
_atom_site_fract_y
_atom_site_fract_z
Y1 0.000 0.268 0.149
Ho1 0.000 0.000 0.000
Y2 0.000 0.732 0.851
Sm1 0.000 0.764 0.181
Sm2 0.000 0.236 0.819
Y3 0.500 0.768 0.351
Sm3 0.500 0.736 0.681
Tb1 0.000 0.000 0.500
Ho2 0.500 0.500 0.500
Tb2 0.500 0.500 0.000
Y4 0.500 0.232 0.649
Sm4 0.500 0.264 0.319
```

Computed properties:
SG: Pnnm, No. 58
ΔE_f, kJ/mol of formula units: 163

=====

[7]
Here is a relaxed HfMn2Be9 crystal from Alexandria. Energies are from GGA-PBE.

Cell and atoms, written as CIF:
```
data_HfMn2Be9
_cell_length_a 4.332
_cell_length_b 4.332
_cell_length_c 7.304
_cell_angle_alpha 72.75
_cell_angle_beta 72.75
_cell_angle_gamma 60.00
_symmetry_space_group_name_H-M 'P 1'
_symmetry_Int_Tables_number 1
_symmetry_space_group_name_Hall 'P 1'
loop_
_atom_site_label
_atom_site_fract_x
_atom_site_fract_y
_atom_site_fract_z
Be1 0.410 0.410 0.262
Be2 0.333 0.333 0.000
Be3 0.919 0.410 0.262
Mn1 0.856 0.856 0.433
Be4 0.081 0.590 0.738
Be5 0.500 0.500 0.500
Mn2 0.144 0.144 0.567
Be6 0.590 0.081 0.738
Hf1 0.000 0.000 0.000
Be7 0.590 0.590 0.738
Be8 0.667 0.667 0.000
Be9 0.410 0.919 0.262
```

Computed properties:
SG: R-3m, No. 166
ΔE_f, kJ/mol of formula units: -257

=====

[8]
Here is a relaxed PmScGa2Au4 crystal from Alexandria. Energies are from GGA-PBE.

Cell and atoms, written as CIF:
```
data_PmScGa2Au4
_cell_length_a 4.664
_cell_length_b 4.664
_cell_length_c 8.861
_cell_angle_alpha 74.74
_cell_angle_beta 74.74
_cell_angle_gamma 60.00
_symmetry_space_group_name_H-M 'P 1'
_symmetry_Int_Tables_number 1
_symmetry_space_group_name_Hall 'P 1'
loop_
_atom_site_label
_atom_site_fract_x
_atom_site_fract_y
_atom_site_fract_z
Sc1 0.500 0.500 0.500
Ga1 0.754 0.754 0.738
Au1 0.610 0.610 0.171
Au2 0.131 0.131 0.607
Pm1 0.000 0.000 0.000
Au3 0.390 0.390 0.829
Ga2 0.246 0.246 0.262
Au4 0.869 0.869 0.393
```

Computed properties:
SG: R-3m, No. 166
ΔE_f, kJ/mol of formula units: -484

=====

[9]
Here is a relaxed ReNi2W crystal from Alexandria. Energies are from GGA-PBE.

Cell and atoms, written as CIF:
```
data_ReNi2W
_cell_length_a 4.159
_cell_length_b 2.604
_cell_length_c 4.916
_cell_angle_alpha 80.91
_cell_angle_beta 90.00
_cell_angle_gamma 90.00
_symmetry_space_group_name_H-M 'P 1'
_symmetry_Int_Tables_number 1
_symmetry_space_group_name_Hall 'P 1'
loop_
_atom_site_label
_atom_site_fract_x
_atom_site_fract_y
_atom_site_fract_z
W1 0.500 0.738 0.780
Ni1 0.500 0.092 0.256
Ni2 0.000 0.158 0.999
Re1 0.000 0.513 0.465
```

Computed properties:
SG: Pm, No. 6
ΔE_f, kJ/mol of formula units: -11

=====

[10]
Here is a relaxed ReSn3B crystal from Alexandria. Energies are from GGA-PBE.

Cell and atoms, written as CIF:
```
data_ReSn3B
_cell_length_a 5.180
_cell_length_b 5.180
_cell_length_c 5.180
_cell_angle_alpha 90.00
_cell_angle_beta 90.00
_cell_angle_gamma 90.00
_symmetry_space_group_name_H-M 'P 1'
_symmetry_Int_Tables_number 1
_symmetry_space_group_name_Hall 'P 1'
loop_
_atom_site_label
_atom_site_fract_x
_atom_site_fract_y
_atom_site_fract_z
Sn1 0.500 0.000 0.000
Sn2 0.000 0.500 0.000
B1 0.500 0.500 0.500
Sn3 0.000 0.000 0.500
Re1 0.000 0.000 0.000
```

Computed properties:
SG: Pm-3m, No. 221
Polymorph energy (0 for the lowest one), eV per atom: 0.000
ΔE_f, kJ/mol of formula units: 595

=====

[11]
Here is a relaxed Dy2Ni4SnGe3 crystal from Alexandria. Energies are from GGA-PBE.

Cell and atoms, written as CIF:
```
data_Dy2Ni4SnGe3
_cell_length_a 4.133
_cell_length_b 4.133
_cell_length_c 9.905
_cell_angle_alpha 90.00
_cell_angle_beta 90.00
_cell_angle_gamma 90.00
_symmetry_space_group_name_H-M 'P 1'
_symmetry_Int_Tables_number 1
_symmetry_space_group_name_Hall 'P 1'
loop_
_atom_site_label
_atom_site_fract_x
_atom_site_fract_y
_atom_site_fract_z
Ni1 0.500 0.500 0.000
Dy1 0.500 0.000 0.234
Ge1 0.000 0.500 0.123
Dy2 0.000 0.500 0.766
Ni2 0.000 0.000 0.000
Ni3 0.500 0.000 0.642
Ge2 0.500 0.000 0.877
Ni4 0.000 0.500 0.358
Ge3 0.000 0.000 0.500
Sn1 0.500 0.500 0.500
```

Computed properties:
SG: P-4m2, No. 115
ΔE_f, kJ/mol of formula units: -607

=====

[12]
Here is a relaxed Sr2NbTe2 crystal from Alexandria. Energies are from GGA-PBE.

Cell and atoms, written as CIF:
```
data_Sr2NbTe2
_cell_length_a 6.469
_cell_length_b 6.469
_cell_length_c 6.651
_cell_angle_alpha 60.90
_cell_angle_beta 60.90
_cell_angle_gamma 90.00
_symmetry_space_group_name_H-M 'P 1'
_symmetry_Int_Tables_number 1
_symmetry_space_group_name_Hall 'P 1'
loop_
_atom_site_label
_atom_site_fract_x
_atom_site_fract_y
_atom_site_fract_z
Te1 0.297 0.297 0.405
Sr1 0.250 0.750 0.500
Te2 0.703 0.703 0.595
Nb1 0.000 0.000 0.000
Sr2 0.750 0.250 0.500
```

Computed properties:
SG: I4/mmm, No. 139
Polymorph energy (0 for the lowest one), eV per atom: 0.277